[1]
La2YCo: relaxed, PBE-GGA.

Summary:
- Space group: No. 166
- Energy of formation: 0.0217 eV/atom
- Total energy: -0.21441 hartree per atom
- DOS(E_F): 1.743 states/eV/atom

abc: 9.6618 9.6618 9.6618
angles: 23.01 23.01 23.01
With the nearest neighbours (Å) after each atom.
Atoms (fractional coordinates):
Co  0.7500  0.7500  0.7500  6 La 2.75
La  0.0258  0.0258  0.0258  3 Co 2.75
La  0.4742  0.4742  0.4742  3 Co 2.75
Y  0.2500  0.2500  0.2500  6 La 3.80, 6 Y 3.85


[2]
PrEr5TlIn2: relaxed, PBE-GGA.

Summary:
- Space group: No. 140
- Energy of formation: -0.0407 eV/atom
- Total energy: -0.14619 hartree per atom
- DOS(E_F): 0.949 states/eV/atom

abc: 8.5245 8.5245 9.3053
angles: 117.26 117.26 90.00
With the nearest neighbours (Å) after each atom.
Atoms (fractional coordinates):
Pr  0.2500  0.7500  0.5000  4 Er 3.00
Pr  0.7500  0.2500  0.5000  4 Er 3.00
Er  0.9255  0.4255  0.2668  1 In 2.89, 1 Pr 3.00
Er  0.6587  0.1587  0.7332  1 In 2.89, 1 Pr 3.00
Er  0.0745  0.5745  0.7332  1 In 2.89, 1 Pr 3.00
Er  0.1587  0.0745  0.7332  1 In 2.89, 1 Pr 3.00
Er  0.5745  0.6587  0.7332  1 In 2.89, 1 Pr 3.00
Er  0.8413  0.9255  0.2668  1 In 2.89, 1 Pr 3.00
Er  0.4255  0.3413  0.2668  1 In 2.89, 1 Pr 3.00
Er  0.3413  0.8413  0.2668  1 In 2.89, 1 Pr 3.00
Er  0.5000  0.5000  0.0000  4 In 3.45, 2 Tl 3.54, 8 Er 3.59
Er  0.0000  0.0000  0.0000  4 In 3.45, 2 Tl 3.54, 8 Er 3.59
Tl  0.2500  0.2500  0.5000  10 Er 3.47-3.54
Tl  0.7500  0.7500  0.5000  10 Er 3.47-3.54
In  0.1112  0.3888  0.0000  1 In 2.68, 2 Er 2.89
In  0.6112  0.1112  0.0000  1 In 2.68, 2 Er 2.89
In  0.3888  0.8888  0.0000  1 In 2.68, 2 Er 2.89
In  0.8888  0.6112  0.0000  1 In 2.68, 2 Er 2.89


[3]
Ac4TlHIr2: relaxed, PBE-GGA.

Summary:
- Space group: No. 63
- Total energy: -0.20390 hartree per atom
- DOS(E_F): 0.610 states/eV/atom

abc: 4.3658 7.6871 15.0880
angles: 90.00 90.00 106.50
With the nearest neighbours (Å) after each atom.
Atoms (fractional coordinates):
Ac  0.2629  0.5257  0.1103  1 H 2.56
Ac  0.7371  0.4743  0.6103  1 H 2.56
Ac  0.7371  0.4743  0.8897  1 H 2.56
Ac  0.2629  0.5257  0.3897  1 H 2.56
Ac  0.0000  0.0000  0.5000  4 Ir 3.05
Ac  0.0000  0.0000  0.0000  4 Ir 3.05
Ac  0.4208  0.8415  0.7500  2 H 2.51
Ac  0.5792  0.1585  0.2500  2 H 2.51
Tl  0.1096  0.2193  0.7500  6 Ac 3.54-3.57
Tl  0.8904  0.7807  0.2500  6 Ac 3.54-3.57
H  0.8363  0.6726  0.7500  4 Ac 2.51-2.56
H  0.1637  0.3274  0.2500  4 Ac 2.51-2.56
Ir  0.3696  0.7393  0.5615  6 Ac 2.94-3.05
Ir  0.6304  0.2607  0.0615  6 Ac 2.94-3.05
Ir  0.6304  0.2607  0.4385  6 Ac 2.94-3.05
Ir  0.3696  0.7393  0.9385  6 Ac 2.94-3.05


[4]
Ba2SrCr: relaxed, PBE-GGA.

Summary:
- Space group: No. 99
- Energy of formation: 0.4128 eV/atom
- Total energy: -0.12402 hartree per atom
- DOS(E_F): 1.068 states/eV/atom

abc: 4.2157 4.2157 10.6524
angles: 90.00 90.00 90.05
With the nearest neighbours (Å) after each atom.
Atoms (fractional coordinates):
Ba  0.0000  0.0000  0.9911  8 Ba 4.22-4.55, 4 Sr 4.41-4.42
Ba  0.5000  0.5000  0.3137  4 Cr 3.64, 1 Sr 3.96
Cr  0.0000  0.0000  0.5097  4 Sr 3.52, 4 Ba 3.64
Sr  0.5000  0.5000  0.6854  4 Cr 3.52


[5]
Mg2NiIr: relaxed, PBE-GGA.

Summary:
- Space group: No. 123
- Energy of formation: -0.2604 eV/atom
- Total energy: -0.17339 hartree per atom
- DOS(E_F): 0.366 states/eV/atom

abc: 4.3075 3.1639 4.3078
angles: 90.00 90.00 90.00
With the nearest neighbours (Å) after each atom.
Atoms (fractional coordinates):
Ir  0.5000  0.6250  0.8746  8 Mg 2.67
Mg  0.0000  0.1251  0.8752  4 Ni 2.67, 4 Ir 2.67
Mg  0.5000  0.1249  0.3745  4 Ir 2.67, 4 Ni 2.67
Ni  0.0000  0.6250  0.3756  8 Mg 2.67


[6]
CaNiOsC2: relaxed, PBE-GGA.

Summary:
- Space group: No. 123
- Energy of formation: 2.1011 eV/atom
- Total energy: -0.19811 hartree per atom
- DOS(E_F): 0.961 states/eV/atom

abc: 3.8388 4.7782 3.8388
angles: 90.00 90.00 90.00
With the nearest neighbours (Å) after each atom.
Atoms (fractional coordinates):
Ni  0.0000  0.0000  0.0000  4 C 1.92
Ca  0.0000  0.5000  0.0000  2 Ni 2.39
Os  0.5000  0.5000  0.5000  4 Ca 2.71
C  0.0000  0.0000  0.5000  2 Ni 1.92
C  0.5000  0.0000  0.0000  2 Ni 1.92


[7]
Li7LaCd4: relaxed, PBE-GGA.

Summary:
- Space group: No. 12
- Energy of formation: -0.0616 eV/atom
- Total energy: -0.06959 hartree per atom
- DOS(E_F): 0.389 states/eV/atom

abc: 5.1198 7.5665 7.3093
angles: 94.02 69.50 70.23
With the nearest neighbours (Å) after each atom.
Atoms (fractional coordinates):
Li  0.8023  0.7501  0.6454  2 Li 2.52-2.69, 1 Cd 2.80
Li  0.1977  0.2499  0.3546  2 Li 2.52-2.69, 1 Cd 2.80
Li  0.0228  0.6858  0.2687  1 Li 2.52, 1 Cd 2.68
Li  0.9772  0.3142  0.7313  1 Li 2.52, 1 Cd 2.68
Li  0.3692  0.5647  0.6968  3 Li 2.65-2.94, 1 Cd 2.70
Li  0.5000  0.0000  0.0000  2 La 2.56, 2 Cd 2.59, 2 Li 2.69
Li  0.6308  0.4353  0.3032  3 Li 2.65-2.94, 1 Cd 2.70
La  0.0000  0.0000  0.0000  2 Li 2.56
Cd  0.6654  0.1225  0.5466  7 Li 2.87-3.10, 3 Cd 3.09-3.12
Cd  0.3346  0.8775  0.4534  7 Li 2.87-3.10, 3 Cd 3.09-3.12
Cd  0.6734  0.6393  0.0139  4 Li 2.59-2.80
Cd  0.3266  0.3607  0.9861  4 Li 2.59-2.80


[8]
PdBr2F: relaxed, PBE-GGA.

Summary:
- Space group: No. 166
- Total energy: -0.10480 hartree per atom
- DOS(E_F): 0.458 states/eV/atom

abc: 7.8504 7.8504 7.8504
angles: 28.20 28.20 28.20
With the nearest neighbours (Å) after each atom.
Atoms (fractional coordinates):
Br  0.8987  0.8987  0.8987  1 F 2.29
Br  0.1013  0.1013  0.1013  1 F 2.29
Pd  0.5000  0.5000  0.5000  6 Br 2.66
F  0.0000  0.0000  0.0000  2 Br 2.29